K3Ac2NiO6 after structural relaxation, computed with GGA+U.

## Properties
The calculation puts the spin magnetization at 0.26 μB/atom. The total energy is -132.73 eV for the cell shown.

a b c (Å): 6.2343 10.8886 6.6103
angles (deg): 90.00 107.94 90.00
With the nearest neighbours (Å) after each atom.
Space group C2/m (No. 12)
One atom of each set of equivalent atoms:
K: 0.0000 0.0000 0.0000 [2 per cell]  4 O 2.77
K: 0.0000 0.3458 0.0000 [4 per cell]  6 O 2.74-3.06
Ac: 0.0000 0.1686 0.5000 [4 per cell]  6 O 2.50-2.55
Ni: 0.0000 0.5000 0.5000 [2 per cell]  6 O 2.05-2.28
O: 0.2176 0.3478 0.6981 [8 per cell]  1 Ni 2.28, 2 Ac 2.50
O: 0.2200 0.5000 0.3255 [4 per cell]  1 Ni 2.05